Entry 1:
An optimized crystal structure of Pm2Pr3Sm6Dy. Source: Alexandria, functional PBE.

Values from the calculation:
As for the space group: C2/m. For the density, the calculation gives 7.166 Mg/m³. Its electronic total energy is -4.715 eV/atom. The value obtained for the formation enthalpy at 0 K is 0.17 eV per formula unit.

abc: 6.3195 6.3195 12.0940
angles: 95.01 95.01 119.99
Sites, in units of the cell vectors:
Pm  0.3333  0.6667  0.0000
Pm  0.6667  0.3333  0.0000
Pr  0.1665  0.8335  0.5000
Pr  0.8335  0.1665  0.5000
Pr  0.5000  0.5000  0.5000
Sm  0.9177  0.5851  0.7526
Sm  0.7496  0.7496  0.2474
Sm  0.0823  0.4149  0.2474
Sm  0.5851  0.9177  0.7526
Sm  0.2504  0.2504  0.7526
Sm  0.4149  0.0823  0.2474
Dy  0.0000  0.0000  0.0000


Entry 2:
An optimized crystal structure of Pm3PrSm2Dy6. Source: Alexandria, functional PBE.

Values from the calculation:
As for the space group: C2/m. For the density, the calculation gives 7.807 Mg/m³. Its electronic total energy is -4.661 eV/atom. The value obtained for the formation enthalpy at 0 K is 0.15 eV per formula unit.

abc: 6.2415 6.2415 11.8545
angles: 95.02 95.02 119.99
Sites, in units of the cell vectors:
Pm  0.1668  0.8332  0.5000
Pm  0.8332  0.1668  0.5000
Pm  0.5000  0.5000  0.5000
Pr  0.0000  0.0000  0.0000
Sm  0.3334  0.6666  0.0000
Sm  0.6666  0.3334  0.0000
Dy  0.9163  0.5826  0.7498
Dy  0.7499  0.7499  0.2502
Dy  0.0837  0.4174  0.2502
Dy  0.5826  0.9163  0.7498
Dy  0.2501  0.2501  0.7498
Dy  0.4174  0.0837  0.2502


Entry 3:
An optimized crystal structure of PmPr2SmDy4. Source: Alexandria, functional PBE.

Values from the calculation:
As for the space group: P2/m. For the density, the calculation gives 7.682 Mg/m³. Its electronic total energy is -4.664 eV/atom. The value obtained for the formation enthalpy at 0 K is 0.13 eV per formula unit.

abc: 3.6219 6.2568 11.8942
angles: 79.77 90.00 90.00
Sites, in units of the cell vectors:
Pm  0.5000  0.5000  0.0000
Pr  0.0000  0.0000  0.0000
Pr  0.5000  0.0000  0.5000
Sm  0.0000  0.5000  0.5000
Dy  0.0000  0.7489  0.7500
Dy  0.0000  0.2511  0.2500
Dy  0.5000  0.7498  0.2505
Dy  0.5000  0.2502  0.7495


Entry 4:
An optimized crystal structure of PmPr5SmDy2. Source: Alexandria, functional PBE.

Values from the calculation:
As for the space group: Cmc2_1. For the density, the calculation gives 6.901 Mg/m³. Its electronic total energy is -4.589 eV/atom. The value obtained for the formation enthalpy at 0 K is 1.27 eV per formula unit.

abc: 5.7433 10.7088 10.7616
angles: 90.00 90.00 105.55
Sites, in units of the cell vectors:
Pm  0.8000  0.6001  0.5098
Pm  0.2000  0.3999  0.0098
Pr  0.3899  0.7798  0.0258
Pr  0.7195  0.4390  0.8110
Pr  0.4787  0.9573  0.7425
Pr  0.2956  0.5911  0.7036
Pr  0.9838  0.9676  0.5216
Pr  0.6101  0.2202  0.5258
Pr  0.2805  0.5610  0.3110
Pr  0.5213  0.0427  0.2425
Pr  0.7044  0.4089  0.2036
Pr  0.0162  0.0324  0.0216
Sm  0.5890  0.1780  0.9542
Sm  0.4110  0.8220  0.4542
Dy  0.8828  0.7656  0.8194
Dy  0.1119  0.2238  0.7360
Dy  0.1172  0.2344  0.3194
Dy  0.8881  0.7762  0.2360


Entry 5:
An optimized crystal structure of Pm4Pr2SmDy2. Source: Alexandria, functional PBE.

Values from the calculation:
As for the space group: C2/m. For the density, the calculation gives 7.250 Mg/m³. Its electronic total energy is -4.704 eV/atom. The value obtained for the formation enthalpy at 0 K is 0.15 eV per formula unit.

abc: 5.1521 8.1439 8.1176
angles: 107.60 90.00 108.44
Sites, in units of the cell vectors:
Pm  0.7784  0.5569  0.6694
Pm  0.2216  0.4431  0.3306
Pm  0.5557  0.1113  0.3309
Pm  0.4443  0.8887  0.6691
Pr  0.8883  0.7765  0.3318
Pr  0.1117  0.2235  0.6682
Sm  0.0000  0.0000  0.0000
Dy  0.3329  0.6658  0.9999
Dy  0.6671  0.3342  0.0001


Entry 6:
An optimized crystal structure of Pm2Pr2Sm2Dy. Source: Alexandria, functional PBE.

Values from the calculation:
As for the space group: R-3m. For the density, the calculation gives 7.120 Mg/m³. Its electronic total energy is -4.603 eV/atom. The value obtained for the formation enthalpy at 0 K is 0.88 eV per formula unit.

abc: 5.7545 5.7545 9.0492
angles: 71.46 71.46 60.00
Sites, in units of the cell vectors:
Pm  0.5881  0.5881  0.2357
Pm  0.4119  0.4119  0.7643
Pr  0.1348  0.1348  0.5955
Pr  0.8652  0.8652  0.4045
Sm  0.7268  0.7268  0.8195
Sm  0.2732  0.2732  0.1805
Dy  0.0000  0.0000  0.0000


Entry 7:
An optimized crystal structure of Pm2Pr3SmDy6. Source: Alexandria, functional PBE.

Values from the calculation:
As for the space group: C2/m. For the density, the calculation gives 7.673 Mg/m³. Its electronic total energy is -4.668 eV/atom. The value obtained for the formation enthalpy at 0 K is 0.15 eV per formula unit.

abc: 6.2698 6.2698 11.8688
angles: 95.03 95.03 120.00
Sites, in units of the cell vectors:
Pm  0.3334  0.6666  0.0000
Pm  0.6666  0.3334  0.0000
Pr  0.1667  0.8333  0.5000
Pr  0.8333  0.1667  0.5000
Pr  0.5000  0.5000  0.5000
Sm  0.0000  0.0000  0.0000
Dy  0.9172  0.5839  0.7518
Dy  0.7496  0.7496  0.2484
Dy  0.0828  0.4161  0.2482
Dy  0.5839  0.9172  0.7518
Dy  0.2504  0.2504  0.7516
Dy  0.4161  0.0828  0.2482


Entry 8:
An optimized crystal structure of PmPrSm6Dy2. Source: Alexandria, functional PBE.

Values from the calculation:
As for the space group: C2/c. For the density, the calculation gives 7.384 Mg/m³. Its electronic total energy is -4.588 eV/atom. The value obtained for the formation enthalpy at 0 K is 1.17 eV per formula unit.

abc: 9.7034 8.9243 8.9243
angles: 117.43 93.73 93.73
Sites, in units of the cell vectors:
Pm  0.2500  0.4079  0.5921
Pm  0.7500  0.5921  0.4079
Pr  0.2500  0.9710  0.0290
Pr  0.7500  0.0290  0.9710
Sm  0.0561  0.1151  0.7541
Sm  0.4439  0.2459  0.8849
Sm  0.9439  0.8849  0.2459
Sm  0.5561  0.7541  0.1151
Sm  0.3180  0.9829  0.4361
Sm  0.1820  0.5639  0.0171
Sm  0.6820  0.0171  0.5639
Sm  0.8180  0.4361  0.9829
Sm  0.1191  0.7058  0.4880
Sm  0.3809  0.5120  0.2942
Sm  0.8809  0.2942  0.5120
Sm  0.6191  0.4880  0.7058
Dy  0.4529  0.8015  0.7015
Dy  0.0471  0.2985  0.1985
Dy  0.5471  0.1985  0.2985
Dy  0.9529  0.7015  0.8015


Entry 9:
An optimized crystal structure of Pm2Pr2SmDy. Source: Alexandria, functional PBE.

Values from the calculation:
As for the space group: Pmma. For the density, the calculation gives 7.165 Mg/m³. Its electronic total energy is -4.674 eV/atom. The value obtained for the formation enthalpy at 0 K is 0.34 eV per formula unit.

abc: 5.7760 7.1026 9.9957
angles: 90.00 90.00 90.00
Sites, in units of the cell vectors:
Pm  0.0000  0.2575  0.8358
Pm  0.5000  0.2577  0.3318
Pm  0.0000  0.7575  0.1642
Pm  0.5000  0.7577  0.6682
Pr  0.5000  0.0076  0.9999
Pr  0.0000  0.2575  0.1730
Pr  0.5000  0.5076  0.0001
Pr  0.0000  0.7575  0.8270
Sm  0.0000  0.0076  0.4999
Sm  0.0000  0.5076  0.5001
Dy  0.5000  0.2577  0.6626
Dy  0.5000  0.7577  0.3374


Entry 10:
An optimized crystal structure of Pm6PrSm2Dy3. Source: Alexandria, functional PBE.

Values from the calculation:
As for the space group: C2/m. For the density, the calculation gives 7.393 Mg/m³. Its electronic total energy is -4.696 eV/atom. The value obtained for the formation enthalpy at 0 K is 0.17 eV per formula unit.

abc: 6.2851 6.2851 11.9960
angles: 95.01 95.01 120.00
Sites, in units of the cell vectors:
Pm  0.9152  0.5813  0.7467
Pm  0.7509  0.7509  0.2533
Pm  0.0848  0.4187  0.2533
Pm  0.5813  0.9152  0.7467
Pm  0.2491  0.2491  0.7467
Pm  0.4187  0.0848  0.2533
Pr  0.0000  0.0000  0.0000
Sm  0.3334  0.6666  0.0000
Sm  0.6666  0.3334  0.0000
Dy  0.1669  0.8331  0.5000
Dy  0.8331  0.1669  0.5000
Dy  0.5000  0.5000  0.5000


Entry 11:
An optimized crystal structure of Pm2PrSmDy5. Source: Alexandria, functional PBE.

Values from the calculation:
As for the space group: I4/mcm. For the density, the calculation gives 7.766 Mg/m³. Its electronic total energy is -4.412 eV/atom. The value obtained for the formation enthalpy at 0 K is 2.30 eV per formula unit.

abc: 8.7621 8.7621 9.9325
angles: 116.17 116.17 90.00
Sites, in units of the cell vectors:
Pm  0.1168  0.3832  0.0000
Pm  0.6168  0.1168  0.0000
Pm  0.3832  0.8832  0.0000
Pm  0.8832  0.6168  0.0000
Pr  0.2500  0.2500  0.5000
Pr  0.7500  0.7500  0.5000
Sm  0.2500  0.7500  0.5000
Sm  0.7500  0.2500  0.5000
Dy  0.9281  0.4281  0.2726
Dy  0.6555  0.1555  0.7274
Dy  0.0719  0.5719  0.7274
Dy  0.1555  0.0719  0.7274
Dy  0.5719  0.6555  0.7274
Dy  0.8445  0.9281  0.2726
Dy  0.4281  0.3445  0.2726
Dy  0.3445  0.8445  0.2726
Dy  0.5000  0.5000  0.0000
Dy  0.0000  0.0000  0.0000


Entry 12:
An optimized crystal structure of Pm2PrSm5Dy. Source: Alexandria, functional PBE.

Values from the calculation:
As for the space group: I4/mcm. For the density, the calculation gives 7.236 Mg/m³. Its electronic total energy is -4.451 eV/atom. The value obtained for the formation enthalpy at 0 K is 2.42 eV per formula unit.

abc: 8.8733 8.8733 10.0425
angles: 116.22 116.22 90.00
Sites, in units of the cell vectors:
Pm  0.1166  0.3834  0.0000
Pm  0.6166  0.1166  0.0000
Pm  0.3834  0.8834  0.0000
Pm  0.8834  0.6166  0.0000
Pr  0.2500  0.2500  0.5000
Pr  0.7500  0.7500  0.5000
Sm  0.9288  0.4288  0.2744
Sm  0.6544  0.1544  0.7256
Sm  0.0712  0.5712  0.7256
Sm  0.1544  0.0712  0.7256
Sm  0.5712  0.6544  0.7256
Sm  0.8456  0.9288  0.2744
Sm  0.4288  0.3456  0.2744
Sm  0.3456  0.8456  0.2744
Sm  0.5000  0.5000  0.0000
Sm  0.0000  0.0000  0.0000
Dy  0.2500  0.7500  0.5000
Dy  0.7500  0.2500  0.5000


Entry 13:
An optimized crystal structure of PmPrSmDy3. Source: Alexandria, functional PBE.

Values from the calculation:
As for the space group: C2/m. For the density, the calculation gives 7.655 Mg/m³. Its electronic total energy is -4.492 eV/atom. The value obtained for the formation enthalpy at 0 K is 1.10 eV per formula unit.

abc: 5.6597 10.4175 7.0630
angles: 90.10 90.00 105.76
Sites, in units of the cell vectors:
Pm  0.0551  0.1102  0.2555
Pm  0.9449  0.8898  0.7445
Pr  0.3533  0.7066  0.9665
Pr  0.6467  0.2934  0.0335
Sm  0.6483  0.2966  0.4609
Sm  0.3517  0.7034  0.5391
Dy  0.8354  0.6707  0.2576
Dy  0.7788  0.5577  0.7523
Dy  0.4771  0.9543  0.2548
Dy  0.2212  0.4423  0.2477
Dy  0.5229  0.0457  0.7452
Dy  0.1646  0.3293  0.7424


Entry 14:
An optimized crystal structure of Pm2PrSm4Dy. Source: Alexandria, functional PBE.

Values from the calculation:
As for the space group: C2/c. For the density, the calculation gives 7.172 Mg/m³. Its electronic total energy is -4.331 eV/atom. The value obtained for the formation enthalpy at 0 K is 3.11 eV per formula unit.

abc: 9.6102 9.6102 11.9325
angles: 128.31 128.31 88.40
Sites, in units of the cell vectors:
Pm  0.5000  0.0000  0.0000
Pm  0.5000  0.0000  0.5000
Pm  0.0000  0.0000  0.5000
Pm  0.5000  0.5000  0.0000
Pr  0.0000  0.5000  0.0000
Pr  0.0000  0.5000  0.5000
Sm  0.2470  0.7545  0.0018
Sm  0.7455  0.2530  0.4982
Sm  0.2545  0.7470  0.5018
Sm  0.7530  0.2455  0.9982
Sm  0.7240  0.7253  0.9723
Sm  0.7747  0.7760  0.5277
Sm  0.2253  0.2240  0.4723
Sm  0.2760  0.2747  0.0277
Dy  0.5000  0.5000  0.5000
Dy  0.0000  0.0000  0.0000


Entry 15:
An optimized crystal structure of Pm3PrSm6Dy2. Source: Alexandria, functional PBE.

Values from the calculation:
As for the space group: C2/m. For the density, the calculation gives 7.394 Mg/m³. Its electronic total energy is -4.698 eV/atom. The value obtained for the formation enthalpy at 0 K is 0.17 eV per formula unit.

abc: 6.2803 6.2803 12.0357
angles: 95.00 95.00 119.98
Sites, in units of the cell vectors:
Pm  0.1670  0.8330  0.5000
Pm  0.8330  0.1670  0.5000
Pm  0.5000  0.5000  0.5000
Pr  0.0000  0.0000  0.0000
Sm  0.9167  0.5823  0.7513
Sm  0.7489  0.7489  0.2488
Sm  0.0833  0.4177  0.2487
Sm  0.5823  0.9167  0.7513
Sm  0.2511  0.2511  0.7512
Sm  0.4177  0.0833  0.2487
Dy  0.3334  0.6666  0.0000
Dy  0.6666  0.3334  0.0000


Entry 16:
An optimized crystal structure of Pm2Pr6SmDy3. Source: Alexandria, functional PBE.

Values from the calculation:
As for the space group: C2/m. For the density, the calculation gives 7.130 Mg/m³. Its electronic total energy is -4.713 eV/atom. The value obtained for the formation enthalpy at 0 K is 0.15 eV per formula unit.

abc: 6.3486 6.3486 12.0216
angles: 95.04 95.04 120.02
Sites, in units of the cell vectors:
Pm  0.3334  0.6666  0.0000
Pm  0.6666  0.3334  0.0000
Pr  0.9157  0.5825  0.7472
Pr  0.7510  0.7510  0.2529
Pr  0.0843  0.4175  0.2528
Pr  0.5825  0.9157  0.7472
Pr  0.2490  0.2490  0.7471
Pr  0.4175  0.0843  0.2528
Sm  0.0000  0.0000  0.0000
Dy  0.1667  0.8333  0.5000
Dy  0.8333  0.1667  0.5000
Dy  0.5000  0.5000  0.5000


Entry 17:
An optimized crystal structure of Pm6Pr3SmDy2. Source: Alexandria, functional PBE.

Values from the calculation:
As for the space group: C2/m. For the density, the calculation gives 7.126 Mg/m³. Its electronic total energy is -4.715 eV/atom. The value obtained for the formation enthalpy at 0 K is 0.19 eV per formula unit.

abc: 6.3218 6.3218 12.0921
angles: 95.02 95.02 120.01
Sites, in units of the cell vectors:
Pm  0.9176  0.5838  0.7540
Pm  0.7486  0.7486  0.2460
Pm  0.0824  0.4162  0.2460
Pm  0.5838  0.9176  0.7540
Pm  0.2514  0.2514  0.7540
Pm  0.4162  0.0824  0.2460
Pr  0.1668  0.8332  0.5000
Pr  0.8332  0.1668  0.5000
Pr  0.5000  0.5000  0.5000
Sm  0.0000  0.0000  0.0000
Dy  0.3334  0.6666  0.0000
Dy  0.6666  0.3334  0.0000


Entry 18:
An optimized crystal structure of Pm4Pr2SmDy. Source: Alexandria, functional PBE.

Values from the calculation:
As for the space group: P-1. For the density, the calculation gives 7.084 Mg/m³. Its electronic total energy is -4.722 eV/atom. The value obtained for the formation enthalpy at 0 K is 0.11 eV per formula unit.

abc: 10.3565 10.3034 12.6225
angles: 144.67 114.14 89.99
Sites, in units of the cell vectors:
Pm  0.2491  0.7546  0.0017
Pm  0.7515  0.2569  0.5042
Pm  0.2485  0.7431  0.4958
Pm  0.7509  0.2454  0.9983
Pm  0.7512  0.7515  0.9986
Pm  0.7509  0.7510  0.5037
Pm  0.2491  0.2490  0.4963
Pm  0.2488  0.2485  0.0014
Pr  0.5000  0.0000  0.0000
Pr  0.5000  0.0000  0.5000
Pr  0.0000  0.0000  0.5000
Pr  0.5000  0.5000  0.0000
Sm  0.0000  0.5000  0.0000
Sm  0.0000  0.5000  0.5000
Dy  0.5000  0.5000  0.5000
Dy  0.0000  0.0000  0.0000


Entry 19:
An optimized crystal structure of PmPr6SmDy2. Source: Alexandria, functional PBE.

Values from the calculation:
As for the space group: C2/c. For the density, the calculation gives 6.925 Mg/m³. Its electronic total energy is -4.623 eV/atom. The value obtained for the formation enthalpy at 0 K is 1.12 eV per formula unit.

abc: 9.8323 9.0172 9.0172
angles: 117.41 85.89 85.89
Sites, in units of the cell vectors:
Pm  0.2500  0.4720  0.5280
Pm  0.7500  0.5280  0.4720
Pr  0.1191  0.0101  0.7961
Pr  0.3809  0.2039  0.9899
Pr  0.8809  0.9899  0.2039
Pr  0.6191  0.7961  0.0101
Pr  0.3145  0.0650  0.5121
Pr  0.1855  0.4879  0.9350
Pr  0.6855  0.9350  0.4879
Pr  0.8145  0.5121  0.0650
Pr  0.0550  0.7425  0.3882
Pr  0.4450  0.6118  0.2575
Pr  0.9450  0.2575  0.6118
Pr  0.5550  0.3882  0.7425
Sm  0.2500  0.9083  0.0917
Sm  0.7500  0.0917  0.9083
Dy  0.4531  0.7938  0.6978
Dy  0.0469  0.3022  0.2062
Dy  0.5469  0.2062  0.3022
Dy  0.9531  0.6978  0.7938